# MgIn9Sn2

Crystalline MgIn9Sn2 at its relaxed geometry (PBE-GGA, the Alexandria database).

Lattice parameters (Å, degrees): 4.522 4.522 15.592 90.00 90.00 90.00
Sites, in units of the cell vectors:
Mg1 0.000 0.000 0.000
In1 0.000 0.500 0.160
In2 0.000 0.500 0.500
In3 0.000 0.500 0.840
In4 0.500 0.000 0.160
In5 0.500 0.000 0.500
In6 0.500 0.000 0.840
In7 0.500 0.500 0.000
In8 0.500 0.500 0.331
In9 0.500 0.500 0.669
Sn1 0.000 0.000 0.328
Sn2 0.000 0.000 0.672

DFT total energy (eV/cell): -34.1
Density of states at the Fermi level (states/eV/f.u.): 6.654

=====

# FePt2Cl

Crystalline FePt2Cl at its relaxed geometry (PBE-GGA, the Alexandria database).

Lattice parameters (Å, degrees): 2.867 3.703 6.961 90.00 90.00 90.00
Sites, in units of the cell vectors:
Fe1 0.000 0.000 0.000
Pt1 0.000 0.000 0.379
Pt2 0.500 0.500 0.170
Cl1 0.500 0.000 0.731

Density of states at the Fermi level (states/eV/f.u.): 4.055
ΔE to the lowest computed polymorph (eV per atom): 0.004
Raw formation energy (meV per atom): 43

=====

Question: density of states at the Fermi level of number 1 (MgIn9Sn2)?
Answer: 6.654 states/eV/f.u.

=====

Question: Among the records above, which one has the lowest density of states at the Fermi level?
Answer: FePt2Cl